(1)
Cd2TcSO | PBEsol | relaxed Values from VASP.

Values from the calculation:
ΔE_f (raw) in meV/atom: 664
Theoretical density in g/cm3: 7.33
SG: No. 123

Geometry as Quantum ESPRESSO input:
```
&SYSTEM
  ibrav = 0, nat = 5, ntyp = 4
/
ATOMIC_SPECIES
S 32.06 S.upf
Tc 98.00 Tc.upf
O 16.00 O.upf
Cd 112.41 Cd.upf
ATOMIC_POSITIONS angstrom
S -1.5856 1.3983 0.4614
Tc -3.6705 -0.9093 0.2903
O 0.0000 0.0000 0.0000
Cd -0.8517 -1.4388 1.4336
Cd -1.2332 -0.8689 -1.6047
CELL_PARAMETERS angstrom
-3.1711 2.7966 0.9227
-2.4664 -1.7378 -3.2093
-1.7034 -2.8775 2.8672
```

(2)
Te2WBr | PBEsol | relaxed Values from VASP.

Values from the calculation:
ΔE_f (raw) in meV/atom: 932
Theoretical density in g/cm3: 10.22
Polymorph energy (0 for the lowest one) in meV/atom: 582.4
SG: No. 119

Geometry as Quantum ESPRESSO input:
```
&SYSTEM
  ibrav = 0, nat = 4, ntyp = 3
/
ATOMIC_SPECIES
Te 127.60 Te.upf
Br 79.90 Br.upf
W 183.84 W.upf
ATOMIC_POSITIONS angstrom
Te 0.0000 0.0000 0.0000
Te 1.0007 -2.7646 -0.6623
Br -0.7972 -5.1806 -2.3875
W -1.7979 -2.4160 -1.7252
CELL_PARAMETERS angstrom
-2.7689 -0.0314 -4.0525
3.7992 -3.1133 0.4006
-0.8268 -4.8005 0.6022
```

(3)
SrNiSe2N | PBEsol | relaxed Values from VASP.

Values from the calculation:
ΔE_f (raw) in meV/atom: 1411
Theoretical density in g/cm3: 3.58
SG: No. 123

Geometry as Quantum ESPRESSO input:
```
&SYSTEM
  ibrav = 0, nat = 5, ntyp = 4
/
ATOMIC_SPECIES
Sr 87.62 Sr.upf
N 14.01 N.upf
Se 78.96 Se.upf
Ni 58.69 Ni.upf
ATOMIC_POSITIONS angstrom
Sr 0.0000 0.0000 0.0000
N 2.3180 0.0000 0.0000
Se 0.0000 0.0000 2.8201
Se 0.0000 2.8201 0.0000
Ni 2.3180 2.8201 2.8201
CELL_PARAMETERS angstrom
4.6360 0.0000 0.0000
0.0000 5.6403 0.0000
0.0000 0.0000 5.6403
```

(4)
AsSeBr4 | PBEsol | relaxed Values from VASP.

Values from the calculation:
ΔE_f (raw) in meV/atom: 983
Theoretical density in g/cm3: 5.32
SG: No. 216

Geometry as Quantum ESPRESSO input:
```
&SYSTEM
  ibrav = 0, nat = 6, ntyp = 3
/
ATOMIC_SPECIES
As 74.92 As.upf
Se 78.96 Se.upf
Br 79.90 Br.upf
ATOMIC_POSITIONS angstrom
As 0.0000 0.0000 0.0000
Se 8.9025 5.1398 3.6344
Br 4.4524 2.5706 1.8177
Br 5.9350 3.4266 4.2388
Br 7.4176 2.5706 1.8177
Br 5.9350 5.1385 1.8177
CELL_PARAMETERS angstrom
5.9350 0.0000 0.0000
2.9675 5.1398 0.0000
2.9675 1.7133 4.8459
```

Number 1 is which compound?
Cd2TcSO